No. 1
Below is a crystal of ScTiMn2Cl relaxed with PBEsol, with properties calculated at the meta-GGA SCAN level.

D(E_F): 3.23 states/eV per cell
calculated density: 5.00 Mg/m³
raw formation energy: 90 meV/atom

a b c (Å): 4.246 4.246 4.389
angles (deg): 90.00 90.00 90.00
Site moments in Bohr magnetons follow the coordinates.
Sites, in units of the cell vectors:
Sc1 0.500 0.500 0.500  -0.51
Cl1 0.000 0.000 0.000  -0.01
Mn1 0.000 0.500 0.000  3.06
Mn2 0.500 0.000 0.000  3.06
Ti1 0.000 0.000 0.500  -0.71



No. 2
Below is a crystal of BTePdN2 relaxed with PBEsol, with properties calculated at the meta-GGA SCAN level.

D(E_F): 2.96 states/eV per cell
calculated density: 4.42 Mg/m³
raw formation energy: 1946 meV/atom

a b c (Å): 3.634 3.634 7.763
angles (deg): 90.00 90.00 90.00
Sites, in units of the cell vectors:
B1 0.500 0.500 0.500
Te1 0.000 0.000 0.500
Pd1 0.000 0.000 0.000
N1 0.000 0.500 0.000
N2 0.500 0.000 0.000